Record 1
Below is CsPrSn after structural relaxation, with properties calculated at the GGA-PBE level.

a = 5.577 Å, b = 5.577 Å, c = 5.577 Å
α = 60.00°, β = 60.00°, γ = 60.00°
Positions (direct):
Pr 0.000 0.000 0.000
Sn 0.750 0.750 0.750
Cs 0.250 0.250 0.250

Output
- Space group: F-43m (216)
- Raw total energy: -3.10 eV per atom

Record 2
Below is CsPrSnTe3 after structural relaxation, with properties calculated at the GGA-PBE level.

a = 12.692 Å, b = 4.539 Å, c = 17.276 Å
α = 90.00°, β = 90.00°, γ = 90.00°
Positions (direct):
Te 0.099 0.750 0.926
Te 0.833 0.750 0.395
Te 0.393 0.750 0.742
Te 0.167 0.250 0.605
Te 0.607 0.250 0.258
Te 0.893 0.750 0.758
Te 0.599 0.750 0.574
Te 0.401 0.250 0.426
Te 0.901 0.250 0.074
Te 0.333 0.750 0.105
Te 0.107 0.250 0.242
Te 0.667 0.250 0.895
Sn 0.842 0.250 0.280
Sn 0.158 0.750 0.720
Sn 0.658 0.750 0.780
Sn 0.342 0.250 0.220
Pr 0.925 0.250 0.890
Pr 0.575 0.750 0.390
Pr 0.075 0.750 0.110
Pr 0.425 0.250 0.610
Cs 0.654 0.750 0.082
Cs 0.346 0.250 0.918
Cs 0.154 0.750 0.418
Cs 0.846 0.250 0.582

Output
- Space group: Pnma (62)
- Excess energy over the best structure of this formula in the dataset: 0 meV/atom

Record 3
Below is CsPrSnTe3 after structural relaxation, with properties calculated at the GGA-PBE level.

a = 8.827 Å, b = 8.827 Å, c = 13.036 Å
α = 90.00°, β = 90.00°, γ = 149.50°
Positions (direct):
Te 0.871 0.129 0.524
Te 0.129 0.871 0.476
Te 0.460 0.540 0.250
Te 0.540 0.460 0.750
Te 0.871 0.129 0.976
Te 0.129 0.871 0.024
Pr 0.500 0.500 0.000
Pr 0.500 0.500 0.500
Cs 0.231 0.769 0.750
Cs 0.769 0.231 0.250
Sn 0.927 0.073 0.750
Sn 0.073 0.927 0.250

Output
- Space group: Cmcm (63)
- Excess energy over the best structure of this formula in the dataset: 69 meV/atom

Record 4
Below is CsPrTe after structural relaxation, with properties calculated at the GGA-PBE level.

a = 5.724 Å, b = 5.724 Å, c = 5.724 Å
α = 60.00°, β = 60.00°, γ = 60.00°
Positions (direct):
Te 0.000 0.000 0.000
Cs 0.250 0.250 0.250
Pr 0.750 0.750 0.750

Output
- Space group: F-43m (216)
- Excess energy over the best structure of this formula in the dataset: 0 meV/atom

Record 5
Below is CsPrTe4 after structural relaxation, with properties calculated at the GGA-PBE level.

a = 7.007 Å, b = 7.007 Å, c = 9.707 Å
α = 90.00°, β = 90.00°, γ = 90.00°
Positions (direct):
Cs 0.000 0.000 0.000
Cs 0.500 0.500 0.000
Te 0.143 0.643 0.698
Te 0.857 0.357 0.698
Te 0.143 0.357 0.302
Te 0.357 0.857 0.302
Te 0.643 0.143 0.302
Te 0.357 0.143 0.698
Te 0.857 0.643 0.302
Te 0.643 0.857 0.698
Pr 0.500 0.500 0.500
Pr 0.000 0.000 0.500

Output
- Space group: P4/nbm (125)
- Raw total energy: -4.01 eV per atom

Record 6
Below is CsPrTlTe3 after structural relaxation, with properties calculated at the GGA-PBE level.

a = 8.857 Å, b = 8.857 Å, c = 12.423 Å
α = 90.00°, β = 90.00°, γ = 148.68°
Positions (direct):
Pr 0.000 0.000 0.500
Pr 0.000 0.000 0.000
Te 0.373 0.627 0.532
Te 0.065 0.935 0.750
Te 0.627 0.373 0.468
Te 0.627 0.373 0.032
Te 0.935 0.065 0.250
Te 0.373 0.627 0.968
Cs 0.751 0.249 0.750
Cs 0.249 0.751 0.250
Tl 0.453 0.547 0.750
Tl 0.547 0.453 0.250

Output
- Space group: Cmcm (63)
- Raw total energy: -3.83 eV per atom